(1)
Here is CaWC2 after structural relaxation from the Alexandria database. Energies are from PBE-GGA.

Unit cell a=4.0546 b=4.0546 c=4.0546 alpha=60.00 beta=60.00 gamma=60.00
Closest atoms and distances in Å follow each position.
Positions (direct):
C: 0.2500 0.2500 0.2500  4 W 2.48, 4 Ca 2.48
C: 0.7500 0.7500 0.7500  4 W 2.48, 4 Ca 2.48
Ca: 0.0000 0.0000 0.0000  8 C 2.48
W: 0.5000 0.5000 0.5000  8 C 2.48

Results
calculated volume = 11.8 A^3/atom
calculated density = 8735 kg/m3
energy above the most stable polymorph in this dataset = 1251 meV per atom

(2)
Here is KCdBiPt after structural relaxation from the Alexandria database. Energies are from PBE-GGA.

Unit cell a=4.7913 b=4.7913 c=6.8158 alpha=69.42 beta=69.42 gamma=60.00
Closest atoms and distances in Å follow each position.
Positions (direct):
Cd: 0.2703 0.2703 0.1890  3 Pt 2.81, 3 Bi 3.09
K: 0.8133 0.8133 0.5601  1 Pt 3.40, 3 Cd 3.60, 4 Bi 3.69-3.75
Pt: 0.6313 0.6313 0.1062  3 Cd 2.81, 3 Bi 2.90
Bi: 0.0110 0.0110 0.9671  3 Pt 2.90, 3 Cd 3.09

Results
calculated volume = 31.0 A^3/atom
calculated density = 7449 kg/m3
VASP energy = -3.24 eV/atom

(3)
Here is Th3TlTc after structural relaxation from the Alexandria database. Energies are from PBE-GGA.

Unit cell a=5.5334 b=6.5722 c=9.4406 alpha=108.82 beta=90.00 gamma=114.90
Closest atoms and distances in Å follow each position.
Positions (direct):
Tc: 0.1014 0.2029 0.9317  6 Th 2.69-2.95
Tc: 0.8986 0.7971 0.0683  6 Th 2.69-2.95
Tl: 0.4027 0.8054 0.5725  1 Tl 3.09, 4 Th 3.32-3.38
Tl: 0.5973 0.1946 0.4275  1 Tl 3.09, 4 Th 3.32-3.38
Th: 0.6337 0.2674 0.9353  3 Tc 2.79-2.95
Th: 0.1304 0.2607 0.2525  2 Tc 2.69-2.92
Th: 0.8650 0.7300 0.3545  1 Tc 2.87
Th: 0.1350 0.2700 0.6455  1 Tc 2.87
Th: 0.3663 0.7326 0.0647  3 Tc 2.79-2.95
Th: 0.8696 0.7393 0.7475  2 Tc 2.69-2.92

Results
calculated volume = 29.1 A^3/atom
calculated density = 11393 kg/m3
energy above the most stable polymorph in this dataset = 50 meV per atom

(4)
Here is Ce4PmY3S8 after structural relaxation from the Alexandria database. Energies are from PBE-GGA.

Unit cell a=7.9527 b=7.9954 c=7.9528 alpha=119.82 beta=120.00 gamma=90.00
Closest atoms and distances in Å follow each position.
Positions (direct):
Y: 0.5000 0.5000 0.5000  6 S 2.78
Y: 0.5000 0.5000 0.0000  6 S 2.78
Y: 0.0000 0.5000 0.5000  6 S 2.78
S: 0.7426 0.7429 0.9928  2 Y 2.78, 3 Ce 2.82-2.86, 1 Pm 2.82
S: 0.7499 0.2571 0.4997  2 Y 2.78, 3 Ce 2.82-2.86, 1 Pm 2.82
S: 0.7465 0.7394 0.4929  3 Y 2.78, 3 Ce 2.86
S: 0.2501 0.7429 0.9928  2 Y 2.78, 3 Ce 2.82-2.86, 1 Pm 2.82
S: 0.2574 0.2571 0.0072  2 Y 2.78, 3 Ce 2.82-2.86, 1 Pm 2.82
S: 0.2535 0.2606 0.5071  3 Y 2.78, 3 Ce 2.86
S: 0.7499 0.2571 0.0072  2 Y 2.78, 3 Ce 2.82-2.86, 1 Pm 2.82
S: 0.2501 0.7429 0.5003  2 Y 2.78, 3 Ce 2.82-2.86, 1 Pm 2.82
Pm: 0.0000 0.5000 0.0000  6 S 2.82
Ce: 0.5000 0.0000 0.0000  6 S 2.82
Ce: 0.0000 0.0000 0.0000  6 S 2.86
Ce: 0.0000 0.0000 0.5000  6 S 2.86
Ce: 0.5000 0.0000 0.5000  6 S 2.86

Results
energy relative to the elements, uncorrected = -2.033 eV/atom
calculated volume = 22.4 A^3/atom
calculated density = 5691 kg/m3

(5)
Here is CeMgRu after structural relaxation from the Alexandria database. Energies are from PBE-GGA.

Unit cell a=4.9034 b=5.0911 c=5.5362 alpha=99.71 beta=90.00 gamma=90.00
Closest atoms and distances in Å follow each position.
Positions (direct):
Ru: 0.2522 0.8576 0.6122  1 Ce 2.35
Ru: 0.7522 0.1501 0.3910  1 Ce 2.35
Mg: 0.2522 0.0191 0.1485  4 Ru 2.82-2.94, 2 Mg 2.93
Mg: 0.7522 0.9886 0.8548  4 Ru 2.82-2.94, 2 Mg 2.93
Ce: 0.2522 0.4184 0.6927  1 Ru 2.35
Ce: 0.7522 0.5893 0.3105  1 Ru 2.35

Results
calculated volume = 22.7 A^3/atom
calculated density = 6473 kg/m3
VASP energy = -5.90 eV/atom

(6)
Here is NdZnP2Rh5 after structural relaxation from the Alexandria database. Energies are from PBE-GGA.

Unit cell a=4.1160 b=4.1160 c=9.4097 alpha=90.00 beta=90.00 gamma=90.00
Closest atoms and distances in Å follow each position.
Positions (direct):
Rh: 0.0000 0.5000 0.1610  2 P 2.26
Rh: 0.5000 0.5000 0.5000  2 P 2.25
Rh: 0.5000 0.0000 0.1610  2 P 2.26
Rh: 0.5000 0.0000 0.8390  2 P 2.26
Rh: 0.0000 0.5000 0.8390  2 P 2.26
Zn: 0.0000 0.0000 0.0000  8 Rh 2.56
P: 0.5000 0.5000 0.7395  5 Rh 2.25-2.26
P: 0.5000 0.5000 0.2605  5 Rh 2.25-2.26
Nd: 0.0000 0.0000 0.5000  4 Rh 2.91

Results
calculated volume = 17.7 A^3/atom
calculated density = 8189 kg/m3
VASP energy = -6.57 eV/atom

The calculation returns the following D(E_F) values, one per record and in order: 3.99; 1.34; 5.57; 22.03; 3.52; 4.10 states/eV/f.u..